Si2SnSbPd: relaxed, PBE.

The calculation puts the calculated total energy at -3.5373 eV/atom. For the energy relative to the elements, uncorrected, the calculation gives 1295 meV per atom.

The space group is P4/mmm (No. 123) and the conventional cell measures 5.021, 5.021 and 5.658 Å, with angles of 90.00, 90.00 and 90.00 degrees. The inequivalent atoms are Si at (0.000, 0.500, 0.000), Sn at (0.000, 0.000, 0.000), Sb at (0.000, 0.000, 0.500) and Pd at (0.500, 0.500, 0.500).